(1)
Entry from Alexandria: a relaxed structure of PmEr2Pt (PBE-GGA).

Unit cell a=3.821 b=3.821 c=9.703 alpha=78.64 beta=78.64 gamma=60.00
Positions (direct):
Pm 0.500 0.500 0.500
Pt 0.000 0.000 0.000
Er 0.273 0.273 0.180
Er 0.727 0.727 0.820

Calculated values
Total magnetization = 0.00 μB/atom
DFT formation energy = -50.7 kJ per mole of atoms
N(E_F) = 5.113 states/eV/cell
Offset from the most stable computed form = 181.2 meV/atom



(2)
Entry from Alexandria: a relaxed structure of Pm2Er2Pt3 (PBE-GGA).

Unit cell a=4.201 b=7.273 c=7.132 alpha=104.22 beta=90.08 gamma=106.82
Positions (direct):
Pm 0.618 0.236 0.879
Pm 0.382 0.764 0.121
Er 0.847 0.694 0.655
Er 0.153 0.306 0.345
Pt 0.000 0.000 0.000
Pt 0.764 0.529 0.254
Pt 0.236 0.471 0.746

Calculated values
Total magnetization = 0.00 μB/atom
DFT formation energy = -95.5 kJ per mole of atoms
N(E_F) = 3.527 states/eV/cell
Offset from the most stable computed form = 71.5 meV/atom



(3)
Entry from Alexandria: a relaxed structure of PmEr2Pt (PBE-GGA).

Unit cell a=3.536 b=3.536 c=8.591 alpha=90.00 beta=90.00 gamma=90.00
Positions (direct):
Pm 0.500 0.500 0.500
Pt 0.500 0.500 0.000
Er 0.000 0.000 0.810
Er 0.000 0.000 0.190

Calculated values
Total magnetization = 0.00 μB/atom
DFT formation energy = -60.7 kJ per mole of atoms
N(E_F) = 3.885 states/eV/cell
Offset from the most stable computed form = 78.0 meV/atom